First-principles (PBE) data for a geometry-optimized Ca2Hg2Pd3 structure, as listed in Alexandria via LeMat-Bulk.

a = 7.480 Å, b = 7.480 Å, c = 7.480 Å
α = 109.47°, β = 109.47°, γ = 109.47°
Atoms (fractional coordinates):
Ca  0.000  0.008  0.500
Ca  0.008  0.500  0.000
Ca  0.492  0.492  0.492
Ca  0.500  0.000  0.008
Hg  0.000  0.612  0.500
Hg  0.500  0.000  0.612
Hg  0.612  0.500  0.000
Hg  0.888  0.888  0.888
Pd  0.023  0.250  0.273
Pd  0.227  0.477  0.750
Pd  0.250  0.273  0.023
Pd  0.273  0.023  0.250
Pd  0.477  0.750  0.227
Pd  0.750  0.227  0.477

## Properties
Space-group type ... I2_13
DFT formation energy ... -466 meV/atom
Energy above the lowest structure with this stoichiometry ... 58.4 meV per atom
Volume ... 23.0 Å³ per atom
Total DFT energy (no corrections) ... -46.89 eV/cell